The following is a PBE calculation of a geometry-optimized HgSbRh structure, from Alexandria via LeMat-Bulk.

```
HgSbRh
1.0
0.000 3.245 3.245
3.245 0.000 3.245
3.245 3.245 0.000
Hg Sb Rh
1 1 1
Direct
0.000 0.000 0.000
0.750 0.750 0.750
0.500 0.500 0.500
```

- D(E_F) (states/eV/cell) = 2.5
- offset from the most stable computed form (meV/atom) = 374
- mass density (g cm⁻³) = 10.33
- calculated volume (Å³/atom) = 22.78
- calculated total energy (eV per atom) = -3.66
- energy relative to the elements, uncorrected (eV/atom) = 0.2692